No. 1
! NaPdF, optimized geometry, DFT PBE; values from VASP
! E_form (uncorrected): -1.1354 eV/atom
! space group: P4/mmm (123)
! polymorph energy (0 for the lowest one): 0.3296 eV/atom
&SYSTEM
  ibrav = 0, nat = 3, ntyp = 3
/
ATOMIC_SPECIES
Na 22.99 Na.upf
Pd 106.42 Pd.upf
F 19.00 F.upf
CELL_PARAMETERS angstrom
3.1015 0.0000 0.0000
0.0000 3.1015 0.0000
0.0000 0.0000 4.8118
ATOMIC_POSITIONS crystal
Na 0.0000 0.0000 0.0000
Pd 0.5000 0.5000 0.5000
F 0.5000 0.5000 0.0000

=====

No. 2
! CaNd2Pu, optimized geometry, DFT PBE; values from VASP
! space group: P4/mmm (123)
! energy of formation from the pure elements: 0.133 eV/atom
! polymorph energy (0 for the lowest one): 0.0000 eV/atom
&SYSTEM
  ibrav = 0, nat = 4, ntyp = 3
/
ATOMIC_SPECIES
Ca 40.08 Ca.upf
Nd 144.24 Nd.upf
Pu 244.00 Pu.upf
CELL_PARAMETERS angstrom
3.6080 0.0000 0.0000
0.0000 3.6080 0.0000
0.0000 0.0000 10.5246
ATOMIC_POSITIONS crystal
Ca 0.0000 0.0000 0.0000
Nd 0.5000 0.5000 0.2717
Nd 0.5000 0.5000 0.7283
Pu 0.0000 0.0000 0.5000

=====

No. 3
! Ca2PmMnN4, optimized geometry, DFT PBE; values from VASP
! E_form (uncorrected): -0.8352 eV/atom
! space group: Pmn2_1 (31)
&SYSTEM
  ibrav = 0, nat = 16, ntyp = 4
/
ATOMIC_SPECIES
Ca 40.08 Ca.upf
Pm 145.00 Pm.upf
Mn 54.94 Mn.upf
N 14.01 N.upf
CELL_PARAMETERS angstrom
7.3326 0.0000 0.0000
0.0000 6.7196 0.0000
0.0000 0.0000 5.2391
ATOMIC_POSITIONS crystal
Ca 0.2431 0.1623 0.0000
Ca 0.2569 0.8377 0.5000
Ca 0.7431 0.8377 0.5000
Ca 0.7569 0.1623 0.0000
Pm 0.0000 0.3713 0.5012
Pm 0.5000 0.6287 0.0012
Mn 0.0000 0.6788 0.0413
Mn 0.5000 0.3212 0.5413
N 0.0000 0.4096 0.9814
N 0.0000 0.6895 0.3821
N 0.2134 0.8046 0.9655
N 0.2866 0.1954 0.4655
N 0.5000 0.3105 0.8821
N 0.5000 0.5904 0.4814
N 0.7134 0.1954 0.4655
N 0.7866 0.8046 0.9655

=====

No. 4
! TaCrNi2, optimized geometry, DFT PBE; values from VASP
! space group: I-42d (122)
! energy of formation from the pure elements: 0.365 eV/atom
! polymorph energy (0 for the lowest one): 0.4650 eV/atom
&SYSTEM
  ibrav = 0, nat = 8, ntyp = 3
/
ATOMIC_SPECIES
Ta 180.95 Ta.upf
Cr 52.00 Cr.upf
Ni 58.69 Ni.upf
CELL_PARAMETERS angstrom
-3.3124 3.3124 2.4955
3.3124 -3.3124 2.4955
3.3124 3.3124 -2.4955
ATOMIC_POSITIONS crystal
Ta 0.0000 0.0000 0.0000
Ta 0.7500 0.2500 0.5000
Cr 0.2500 0.7500 0.5000
Cr 0.5000 0.5000 0.0000
Ni 0.1479 0.6250 0.0229
Ni 0.3750 0.3979 0.5229
Ni 0.6021 0.1250 0.9771
Ni 0.8750 0.8521 0.4771

=====

No. 5
! CoPd3Pt2, optimized geometry, DFT PBE; values from VASP
! space group: Immm (71)
! energy of formation from the pure elements: 0.315 eV/atom
! polymorph energy (0 for the lowest one): 0.0869 eV/atom
&SYSTEM
  ibrav = 0, nat = 6, ntyp = 3
/
ATOMIC_SPECIES
Co 58.93 Co.upf
Pd 106.42 Pd.upf
Pt 195.08 Pt.upf
CELL_PARAMETERS angstrom
-1.3355 2.3999 7.5431
1.3355 -2.3999 7.5431
1.3355 2.3999 -7.5431
ATOMIC_POSITIONS crystal
Co 0.0000 0.0000 0.0000
Pd 0.1633 0.1633 0.0000
Pd 0.5000 0.0000 0.5000
Pd 0.8367 0.8367 0.0000
Pt 0.3433 0.3433 0.0000
Pt 0.6567 0.6567 0.0000

=====

No. 6
! Sr2HgMo, optimized geometry, DFT PBE; values from VASP
! space group: I-4m2 (119)
! energy of formation from the pure elements: 0.640 eV/atom
&SYSTEM
  ibrav = 0, nat = 4, ntyp = 3
/
ATOMIC_SPECIES
Sr 87.62 Sr.upf
Hg 200.59 Hg.upf
Mo 95.94 Mo.upf
CELL_PARAMETERS angstrom
-2.4122 2.4122 5.1267
2.4122 -2.4122 5.1267
2.4122 2.4122 -5.1267
ATOMIC_POSITIONS crystal
Sr 0.0000 0.0000 0.0000
Sr 0.7500 0.2500 0.5000
Hg 0.2500 0.7500 0.5000
Mo 0.5000 0.5000 0.0000

=====

No. 7
! TeAs2Se2, optimized geometry, DFT PBE; values from VASP
! E_form (uncorrected): 0.2176 eV/atom
! space group: I4/mmm (139)
&SYSTEM
  ibrav = 0, nat = 5, ntyp = 3
/
ATOMIC_SPECIES
Te 127.60 Te.upf
As 74.92 As.upf
Se 78.96 Se.upf
CELL_PARAMETERS angstrom
-2.6167 2.6167 4.3999
2.6167 -2.6167 4.3999
2.6167 2.6167 -4.3999
ATOMIC_POSITIONS crystal
Te 0.0000 0.0000 0.0000
As 0.3356 0.3356 0.0000
As 0.6644 0.6644 0.0000
Se 0.2500 0.7500 0.5000
Se 0.7500 0.2500 0.5000

=====

No. 8
! Tm4Zn2GaCu, optimized geometry, DFT PBE; values from VASP
! space group: R-3m (166)
! energy of formation from the pure elements: -0.391 eV/atom
&SYSTEM
  ibrav = 0, nat = 8, ntyp = 4
/
ATOMIC_SPECIES
Tm 168.93 Tm.upf
Zn 65.41 Zn.upf
Ga 69.72 Ga.upf
Cu 63.55 Cu.upf
CELL_PARAMETERS angstrom
2.4740 1.4284 8.0744
-2.4740 1.4284 8.0744
0.0000 -2.8568 8.0744
ATOMIC_POSITIONS crystal
Tm 0.1232 0.1232 0.1232
Tm 0.3733 0.3733 0.3733
Tm 0.6267 0.6267 0.6267
Tm 0.8768 0.8768 0.8768
Zn 0.2496 0.2496 0.2496
Zn 0.7504 0.7504 0.7504
Ga 0.5000 0.5000 0.5000
Cu 0.0000 0.0000 0.0000